The following is a GGA-PBE calculation of a relaxed structure of Cu2SbTe, from the Alexandria database.

Results
The calculation puts the raw formation energy at 1.3 eV/f.u.

Cell: 3.8772 5.4364 7.7657 Å, 90.00 90.00 90.00°
Space group Immm (No. 71)
Unique sites:
Cu: 0.0000 0.0000 0.2488
Sb: 0.0000 0.5000 0.5000
Te: 0.0000 0.5000 0.0000